Entry 1:
DFT (PBE) results for a relaxed structure of Na2MgAs2.

The structure in extended XYZ format:
```
5
Lattice="-2.160 2.160 6.287 2.160 -2.160 6.287 2.160 2.160 -6.287" Properties=species:S:1:pos:R:3 pbc="T T T"
Na 2.160 0.000 3.144
Na 0.000 2.160 3.144
Mg 0.000 0.000 0.000
As 0.000 0.000 5.074
As 0.000 0.000 7.500
```

Size of the total moment = 0.0000 μB per atom
Formation enthalpy at 0 K = -0.118 eV per atom

Entry 2:
DFT (PBE) results for a relaxed structure of Pt2SeBr3.

The structure in extended XYZ format:
```
12
Lattice="7.742 0.000 0.000 -3.871 6.705 0.000 0.000 0.000 6.176" Properties=species:S:1:pos:R:3 pbc="T T T"
Pt 0.000 0.000 0.000
Pt -1.936 3.352 0.000
Pt 3.871 0.000 0.000
Pt 1.936 3.352 0.000
Se 0.000 4.470 1.171
Se 3.871 2.235 5.005
Br 0.000 2.202 4.700
Br -1.964 5.604 4.700
Br 1.907 1.101 1.475
Br 1.964 5.604 4.700
Br 5.835 1.101 1.475
Br 3.871 4.503 1.475
```

Size of the total moment = 0.3363 μB per atom
E = -41.3 eV/cell

Entry 3:
DFT (PBE) results for a relaxed structure of Ba2CrHg.

The structure in extended XYZ format:
```
4
Lattice="4.020 0.000 0.000 0.000 4.020 0.000 0.000 0.000 9.347" Properties=species:S:1:pos:R:3 pbc="T T T"
Ba 0.000 0.000 0.000
Ba 2.010 2.010 3.729
Cr 0.000 0.000 6.004
Hg 2.010 2.010 7.165
```

Size of the total moment = 1.1412 μB per atom
Formation enthalpy at 0 K = 0.210 eV per atom